No. 1
Density functional theory data (PBE-GGA) for a geometry-optimized HgH2S structure.

a = 4.0657 Å, b = 4.0657 Å, c = 4.0657 Å
α = 60.00°, β = 60.00°, γ = 60.00°
Element x y z (fractional)
Hg1 0.0000 0.0000 0.0000
H1 0.2500 0.2500 0.2500
H2 0.7500 0.7500 0.7500
S1 0.5000 0.5000 0.5000

* space group: Fm-3m
* E above lowest polymorph: 1156.0 meV/atom
* E: -1.724 eV/atom

No. 2
Density functional theory data (PBE-GGA) for a geometry-optimized HgH2S structure.

a = 3.9299 Å, b = 5.0135 Å, c = 10.1282 Å
α = 88.81°, β = 87.52°, γ = 88.02°
Element x y z (fractional)
Hg1 0.2468 0.2478 0.0657
Hg2 0.7532 0.7522 0.9343
H1 0.0263 0.1586 0.6784
H2 0.3070 0.2254 0.5183
H3 0.6930 0.7746 0.4817
H4 0.9737 0.8414 0.3216
S1 0.3232 0.2792 0.6480
S2 0.6768 0.7208 0.3520

* space group: P-1
* E above lowest polymorph: 0.0 meV/atom
* E: -2.880 eV/atom

No. 3
Density functional theory data (PBE-GGA) for a geometry-optimized Hg5H4S2 structure.

a = 10.0353 Å, b = 10.0353 Å, c = 7.1550 Å
α = 107.34°, β = 107.34°, γ = 22.42°
Element x y z (fractional)
Hg1 0.0000 0.0000 0.0000
Hg2 0.2701 0.2701 0.7699
Hg3 0.4038 0.4038 0.3857
Hg4 0.5962 0.5962 0.6143
Hg5 0.7299 0.7299 0.2301
H1 0.3386 0.3386 0.9712
H2 0.4648 0.4648 0.2663
H3 0.5352 0.5352 0.7337
H4 0.6614 0.6614 0.0288
S1 0.1626 0.1626 0.4949
S2 0.8374 0.8374 0.5051

* space group: C2/m
* E: -1.959 eV/atom

No. 4
Density functional theory data (PBE-GGA) for a geometry-optimized Hg3H4S2 structure.

a = 7.4540 Å, b = 7.4540 Å, c = 6.8232 Å
α = 108.58°, β = 108.58°, γ = 87.89°
Element x y z (fractional)
Hg1 0.0902 0.9098 0.7500
Hg2 0.1919 0.4552 0.9809
Hg3 0.4552 0.1919 0.4809
Hg4 0.5448 0.8081 0.5191
Hg5 0.8081 0.5448 0.0191
Hg6 0.9098 0.0902 0.2500
H1 0.0275 0.6564 0.0305
H2 0.3436 0.9725 0.4695
H3 0.3689 0.6060 0.0142
H4 0.3940 0.6311 0.4858
H5 0.6060 0.3689 0.5142
H6 0.6311 0.3940 0.9858
H7 0.6564 0.0275 0.5305
H8 0.9725 0.3436 0.9695
S1 0.1433 0.3339 0.4961
S2 0.3339 0.1433 0.9961
S3 0.6661 0.8567 0.0039
S4 0.8567 0.6661 0.5039

* space group: C2/c
* E: -2.147 eV/atom

No. 5
Density functional theory data (PBE-GGA) for a geometry-optimized Tb3HgHS structure.

a = 8.0776 Å, b = 4.0003 Å, c = 8.7056 Å
α = 90.00°, β = 103.05°, γ = 90.00°
Element x y z (fractional)
Tb1 0.0680 0.2500 0.3296
Tb2 0.3079 0.2500 0.9732
Tb3 0.3929 0.7500 0.6371
Tb4 0.6071 0.2500 0.3629
Tb5 0.6921 0.7500 0.0268
Tb6 0.9320 0.7500 0.6704
Hg1 0.3167 0.7500 0.2449
Hg2 0.6833 0.2500 0.7551
H1 0.4111 0.7500 0.9023
H2 0.5889 0.2500 0.0977
S1 0.1602 0.2500 0.6524
S2 0.8398 0.7500 0.3476

* space group: P2_1/m
* E: -4.578 eV/atom

No. 6
Density functional theory data (PBE-GGA) for a geometry-optimized TlHgH2S structure.

a = 3.8442 Å, b = 3.8442 Å, c = 6.8999 Å
α = 90.00°, β = 90.00°, γ = 90.00°
Element x y z (fractional)
Tl1 0.0000 0.0000 0.0000
Hg1 0.0000 0.0000 0.5000
H1 0.0000 0.5000 0.5000
H2 0.5000 0.0000 0.5000
S1 0.5000 0.5000 0.0000

* space group: P4/mmm
* E: -2.443 eV/atom

No. 7
Density functional theory data (PBE-GGA) for a geometry-optimized Y5Hg2HS structure.

a = 9.0301 Å, b = 9.0301 Å, c = 12.5983 Å
α = 90.00°, β = 90.00°, γ = 154.78°
Element x y z (fractional)
Y1 0.0020 0.9980 0.5000
Y2 0.1469 0.8531 0.2504
Y3 0.1935 0.8065 0.9024
Y4 0.1939 0.8061 0.6052
Y5 0.4605 0.5395 0.2469
Y6 0.5395 0.4605 0.7469
Y7 0.8061 0.1939 0.1052
Y8 0.8065 0.1935 0.4024
Y9 0.8531 0.1469 0.7504
Y10 0.9980 0.0020 0.0000
Hg1 0.3739 0.6261 0.9348
Hg2 0.3777 0.6223 0.5662
Hg3 0.6223 0.3777 0.0662
Hg4 0.6261 0.3739 0.4348
H1 0.0685 0.9315 0.6558
H2 0.9315 0.0685 0.1558
S1 0.3027 0.6973 0.2534
S2 0.6973 0.3027 0.7534

* space group: Cmc2_1
* E: -5.297 eV/atom

No. 8
Density functional theory data (PBE-GGA) for a geometry-optimized ZnHgH2S structure.

a = 3.6290 Å, b = 3.6290 Å, c = 5.6296 Å
α = 90.00°, β = 90.00°, γ = 90.00°
Element x y z (fractional)
Zn1 0.0000 0.0000 0.0000
Hg1 0.5000 0.5000 0.0000
H1 0.0000 0.5000 0.5000
H2 0.5000 0.0000 0.5000
S1 0.0000 0.0000 0.5000

* space group: P4/mmm
* E: -2.198 eV/atom

No. 9
Density functional theory data (PBE-GGA) for a geometry-optimized HgSbH2 structure.

a = 4.3323 Å, b = 4.3323 Å, c = 4.3323 Å
α = 60.00°, β = 60.00°, γ = 60.00°
Element x y z (fractional)
Hg1 0.0000 0.0000 0.0000
Sb1 0.5000 0.5000 0.5000
H1 0.2500 0.2500 0.2500
H2 0.7500 0.7500 0.7500

* space group: Fm-3m
* E above lowest polymorph: 388.0 meV/atom
* E: -1.960 eV/atom

No. 10
Density functional theory data (PBE-GGA) for a geometry-optimized Hg2Sb2H structure.

a = 6.2327 Å, b = 6.2327 Å, c = 6.0056 Å
α = 90.00°, β = 90.00°, γ = 90.00°
Element x y z (fractional)
Hg1 0.2483 0.2517 0.0000
Hg2 0.2517 0.7517 0.0000
Hg3 0.7483 0.2483 0.0000
Hg4 0.7517 0.7483 0.0000
Sb1 0.2495 0.2505 0.5000
Sb2 0.2505 0.7505 0.5000
Sb3 0.7495 0.2495 0.5000
Sb4 0.7505 0.7495 0.5000
H1 0.0000 0.0000 0.0000
H2 0.5000 0.5000 0.0000

* space group: P4/mbm
* E above lowest polymorph: 0.0 meV/atom
* E: -2.174 eV/atom

No. 11
Density functional theory data (PBE-GGA) for a geometry-optimized HgSbH2 structure.

a = 6.3333 Å, b = 6.3333 Å, c = 6.3333 Å
α = 120.27°, β = 120.27°, γ = 89.53°
Element x y z (fractional)
Hg1 0.3750 0.6250 0.7500
Hg2 0.6250 0.3750 0.2500
Sb1 0.1250 0.8750 0.2500
Sb2 0.8750 0.1250 0.7500
H1 0.0000 0.0000 0.0000
H2 0.0000 0.0000 0.5000
H3 0.0000 0.5000 0.0000
H4 0.5000 0.0000 0.5000

* space group: I4_1/amd
* E above lowest polymorph: 0.0 meV/atom
* E: -2.348 eV/atom

No. 12
Density functional theory data (PBE-GGA) for a geometry-optimized Hg2SbH structure.

a = 7.5810 Å, b = 7.5810 Å, c = 7.5810 Å
α = 139.28°, β = 139.28°, γ = 58.94°
Element x y z (fractional)
Hg1 0.0123 0.6250 0.8873
Hg2 0.3750 0.2623 0.3873
Hg3 0.7377 0.1250 0.1127
Hg4 0.8750 0.9877 0.6127
Sb1 0.2500 0.7500 0.5000
Sb2 0.5000 0.5000 0.0000
H1 0.0000 0.0000 0.0000
H2 0.7500 0.2500 0.5000

* space group: I-42d
* E above lowest polymorph: 176.0 meV/atom
* E: -1.636 eV/atom

No. 13
Density functional theory data (PBE-GGA) for a geometry-optimized HgSb2H structure.

a = 7.1587 Å, b = 7.1587 Å, c = 7.1587 Å
α = 36.80°, β = 36.80°, γ = 36.80°
Element x y z (fractional)
Hg1 0.0000 0.0000 0.0000
Sb1 0.4007 0.4007 0.4007
Sb2 0.5993 0.5993 0.5993
H1 0.5000 0.5000 0.5000

* space group: R-3m
* E above lowest polymorph: 278.3 meV/atom
* E: -2.559 eV/atom

No. 14
Density functional theory data (PBE-GGA) for a geometry-optimized HgSb2H structure.

a = 4.9596 Å, b = 4.9596 Å, c = 4.9596 Å
α = 60.00°, β = 60.00°, γ = 60.00°
Element x y z (fractional)
Hg1 0.0000 0.0000 0.0000
Sb1 0.2500 0.2500 0.2500
Sb2 0.7500 0.7500 0.7500
H1 0.5000 0.5000 0.5000

* space group: Fm-3m
* E above lowest polymorph: 475.0 meV/atom
* E: -2.362 eV/atom

No. 15
Density functional theory data (PBE-GGA) for a geometry-optimized Hg2SbH structure.

a = 6.3851 Å, b = 6.3851 Å, c = 11.5411 Å
α = 120.46°, β = 120.46°, γ = 29.57°
Element x y z (fractional)
Hg1 0.0408 0.0408 0.3014
Hg2 0.3133 0.3133 0.3169
Hg3 0.6867 0.6867 0.6831
Hg4 0.9592 0.9592 0.6986
Sb1 0.1055 0.1055 0.9797
Sb2 0.8945 0.8945 0.0203
H1 0.1272 0.1272 0.4764
H2 0.8728 0.8728 0.5236

* space group: C2/m
* E above lowest polymorph: 0.0 meV/atom
* E: -1.812 eV/atom

No. 16
Density functional theory data (PBE-GGA) for a geometry-optimized HgSb2H structure.

a = 5.9765 Å, b = 6.6023 Å, c = 6.6943 Å
α = 101.78°, β = 116.20°, γ = 92.35°
Element x y z (fractional)
Hg1 0.1361 0.0899 0.2702
Hg2 0.8639 0.9101 0.7298
Sb1 0.3748 0.4746 0.7528
Sb2 0.3757 0.9166 0.7529
Sb3 0.6243 0.0834 0.2471
Sb4 0.6252 0.5254 0.2472
H1 0.0832 0.4512 0.7542
H2 0.9168 0.5488 0.2458

* space group: P-1
* E above lowest polymorph: 0.0 meV/atom
* E: -2.837 eV/atom

No. 17
Density functional theory data (PBE-GGA) for a geometry-optimized Hg2SbH2 structure.

a = 7.8086 Å, b = 7.8086 Å, c = 7.8086 Å
α = 154.86°, β = 154.86°, γ = 35.84°
Element x y z (fractional)
Hg1 0.1557 0.1557 0.0000
Hg2 0.8443 0.8443 0.0000
Sb1 0.5000 0.5000 0.0000
H1 0.2500 0.7500 0.5000
H2 0.7500 0.2500 0.5000

* space group: I4/mmm
* E above lowest polymorph: 391.1 meV/atom
* E: -1.738 eV/atom

No. 18
Density functional theory data (PBE-GGA) for a geometry-optimized HgSb2H2 structure.

a = 7.7047 Å, b = 7.7047 Å, c = 3.2979 Å
α = 90.00°, β = 90.00°, γ = 90.00°
Element x y z (fractional)
Hg1 0.0000 0.0000 0.0000
Hg2 0.5000 0.5000 0.0000
Sb1 0.1272 0.3728 0.0000
Sb2 0.3728 0.8728 0.0000
Sb3 0.6272 0.1272 0.0000
Sb4 0.8728 0.6272 0.0000
H1 0.0989 0.5989 0.5000
H2 0.4011 0.0989 0.5000
H3 0.5989 0.9011 0.5000
H4 0.9011 0.4011 0.5000

* space group: P4/mbm
* E: -2.468 eV/atom

No. 19
Density functional theory data (PBE-GGA) for a geometry-optimized Hg2SbH2 structure.

a = 5.5794 Å, b = 5.7485 Å, c = 8.0485 Å
α = 75.86°, β = 87.22°, γ = 76.10°
Element x y z (fractional)
Hg1 0.1795 0.4244 0.3113
Hg2 0.2854 0.8269 0.5036
Hg3 0.7146 0.1731 0.4964
Hg4 0.8205 0.5756 0.6887
Sb1 0.2627 0.1696 0.9390
Sb2 0.7373 0.8304 0.0610
H1 0.2919 0.0585 0.7528
H2 0.4226 0.3948 0.8443
H3 0.5774 0.6052 0.1557
H4 0.7081 0.9415 0.2472

* space group: P-1
* E above lowest polymorph: 0.0 meV/atom
* E: -2.129 eV/atom

No. 20
Density functional theory data (PBE-GGA) for a geometry-optimized Hg2Sb2H structure.

a = 8.1829 Å, b = 8.1829 Å, c = 8.1829 Å
α = 149.47°, β = 149.47°, γ = 43.73°
Element x y z (fractional)
Hg1 0.0901 0.0901 0.0000
Hg2 0.9099 0.9099 0.0000
Sb1 0.2500 0.7500 0.5000
Sb2 0.7500 0.2500 0.5000
H1 0.5000 0.5000 0.0000

* space group: I4/mmm
* E above lowest polymorph: 316.6 meV/atom
* E: -1.857 eV/atom